[1]
A plane-wave DFT calculation with PBE was carried out for a relaxed structure of CoPSN.

Computed properties:
ΔE to the lowest computed polymorph	0	meV/atom
uncorrected formation energy	-3	kJ/mol of atoms
N(E_F)	0.56	states/eV per atom

Unit cell a=2.7772 b=3.5851 c=6.7852 alpha=93.51 beta=90.95 gamma=112.78
Last column: nearest neighbours and their distance in Å.
Element x y z (fractional)
S 0.0330 0.0952 0.4523  3 Co 2.29-2.38
P 0.6530 0.3064 0.8084  2 N 1.67
N 0.2442 0.4795 0.9232  2 P 1.67
Co 0.3587 0.7313 0.6414  3 P 2.14-2.33, 1 N 2.14, 3 S 2.29-2.38



[2]
A plane-wave DFT calculation with PBE was carried out for a relaxed structure of CoPSN.

Computed properties:
ΔE to the lowest computed polymorph	170	meV/atom
uncorrected formation energy	13	kJ/mol of atoms
N(E_F)	0.44	states/eV per atom

Unit cell a=3.5150 b=3.6288 c=4.9025 alpha=109.90 beta=88.40 gamma=101.28
Last column: nearest neighbours and their distance in Å.
Element x y z (fractional)
P 0.5820 0.3933 0.9489  1 N 1.64
N 0.2372 0.0200 0.7686  1 P 1.64
Co 0.1112 0.4735 0.6821  2 N 1.84-1.96
S 0.6058 0.2879 0.3496  1 P 2.13, 2 Co 2.28-2.38



[3]
A plane-wave DFT calculation with PBE was carried out for a relaxed structure of CoPSN.

Computed properties:
ΔE to the lowest computed polymorph	98	meV/atom
uncorrected formation energy	6	kJ/mol of atoms
N(E_F)	0.32	states/eV per atom

Unit cell a=2.8367 b=2.7206 c=15.2964 alpha=90.00 beta=95.48 gamma=90.00
Last column: nearest neighbours and their distance in Å.
Element x y z (fractional)
N 0.0074 0.5000 0.5928  2 P 1.71
P 0.9716 0.5000 0.0247  2 N 1.71
P 0.9716 0.0000 0.5247  2 N 1.71
N 0.0074 0.0000 0.0928  2 P 1.71
S 0.0983 0.5000 0.2712  4 Co 2.25
S 0.0983 0.0000 0.7712  4 Co 2.25
Co 0.5612 0.5000 0.6987  2 N 2.15, 4 S 2.25
Co 0.5612 0.0000 0.1987  2 N 2.15, 4 S 2.25



[4]
A plane-wave DFT calculation with PBE was carried out for a relaxed structure of CoPSN.

Computed properties:
ΔE to the lowest computed polymorph	164	meV/atom
uncorrected formation energy	13	kJ/mol of atoms
N(E_F)	0.71	states/eV per atom

Unit cell a=4.3766 b=3.0703 c=4.2895 alpha=90.00 beta=97.37 gamma=90.00
Last column: nearest neighbours and their distance in Å.
Element x y z (fractional)
S 0.7270 0.0000 0.2938  2 Co 2.21-2.42, 2 P 2.27
P 0.0907 0.5000 0.4686  1 N 1.59
N 0.2033 0.5000 0.8352  1 P 1.59
Co 0.2299 0.0000 0.1170  2 N 1.95



[5]
A plane-wave DFT calculation with PBE was carried out for a relaxed structure of CoPSN.

Computed properties:
ΔE to the lowest computed polymorph	317	meV/atom
uncorrected formation energy	27	kJ/mol of atoms
N(E_F)	0.49	states/eV per atom

Unit cell a=5.2748 b=4.4290 c=4.4562 alpha=90.00 beta=98.98 gamma=90.00
Last column: nearest neighbours and their distance in Å.
Element x y z (fractional)
S 0.2569 0.0000 0.0401  1 N 1.60
P 0.7885 0.5000 0.1237  1 N 1.72
P 0.7885 0.0000 0.6237  1 N 1.72
Co 0.6616 0.0000 0.1052  1 S 2.11, 4 P 2.30-2.35
S 0.2569 0.5000 0.5401  1 N 1.60
N 0.1183 0.0000 0.6947  1 S 1.60, 1 P 1.72
N 0.1183 0.5000 0.1947  1 S 1.60, 1 P 1.72
Co 0.6616 0.5000 0.6052  1 S 2.11, 4 P 2.30-2.35



[6]
A plane-wave DFT calculation with PBE was carried out for a relaxed structure of CoPSN.

Computed properties:
ΔE to the lowest computed polymorph	234	meV/atom
uncorrected formation energy	19	kJ/mol of atoms
N(E_F)	0.35	states/eV per atom

Unit cell a=6.0069 b=2.6813 c=7.0652 alpha=90.00 beta=106.97 gamma=90.00
Last column: nearest neighbours and their distance in Å.
Element x y z (fractional)
S 0.6250 0.5000 0.5778  3 Co 2.34-2.37, 1 P 2.43
N 0.2216 0.0000 0.2645  1 P 1.63, 2 Co 1.81
S 0.6250 0.0000 0.0778  3 Co 2.34-2.37, 1 P 2.43
P 0.9899 0.5000 0.8411  1 N 1.63
Co 0.4143 0.0000 0.7427  2 N 1.81
P 0.9899 0.0000 0.3411  1 N 1.63
Co 0.4143 0.5000 0.2427  2 N 1.81
N 0.2216 0.5000 0.7645  1 P 1.63, 2 Co 1.81



[7]
A plane-wave DFT calculation with PBE was carried out for a relaxed structure of CoPSN.

Computed properties:
ΔE to the lowest computed polymorph	220	meV/atom
uncorrected formation energy	18	kJ/mol of atoms
N(E_F)	0.50	states/eV per atom

Unit cell a=3.3612 b=4.7149 c=5.3284 alpha=97.72 beta=90.52 gamma=110.88
Last column: nearest neighbours and their distance in Å.
Element x y z (fractional)
S 0.9347 0.5747 0.4397  2 Co 2.19, 1 P 2.28
Co 0.4255 0.5487 0.6994  1 N 1.75
N 0.2651 0.2238 0.8545  1 P 1.56
P 0.0858 0.8657 0.8318  1 N 1.56



[8]
A plane-wave DFT calculation with PBE was carried out for a relaxed structure of Co4P6SN12.

Computed properties:
uncorrected formation energy	62	kJ/mol of atoms
N(E_F)	0.59	states/eV per atom

Unit cell a=6.8986 b=6.8986 c=6.8986 alpha=114.84 beta=114.84 gamma=99.20
Last column: nearest neighbours and their distance in Å.
Element x y z (fractional)
P 0.5092 0.8447 0.0000  3 N 1.69-1.78
Co 0.7414 0.7414 0.7857  3 N 1.79-1.99
N 0.2236 0.7293 0.7654  2 P 1.63-1.69
S 0.5000 0.5000 0.0000  4 P 2.37
N 0.4798 0.4798 0.5840  1 P 1.78, 1 Co 1.79
Co 0.0443 0.2586 0.0000  3 N 1.79-1.99
Co 0.2586 0.0443 0.0000  3 N 1.79-1.99
N 0.0361 0.2707 0.4943  2 P 1.63-1.69
Co 0.9557 0.9557 0.2143  3 N 1.79-1.99
N 0.1042 0.5202 0.0000  1 P 1.78, 1 Co 1.79
P 0.1553 0.1553 0.6645  3 N 1.69-1.78
N 0.7293 0.2236 0.7654  2 P 1.63-1.69
P 0.8447 0.5092 0.0000  3 N 1.69-1.78
P 0.0000 0.5000 0.5000  4 N 1.63
P 0.4908 0.4908 0.3355  3 N 1.69-1.78
P 0.5000 0.0000 0.5000  4 N 1.63
N 0.9639 0.4582 0.2346  2 P 1.63-1.69
N 0.7764 0.5418 0.5057  2 P 1.63-1.69
N 0.4582 0.9639 0.2346  2 P 1.63-1.69
N 0.5418 0.7764 0.5057  2 P 1.63-1.69
N 0.8958 0.8958 0.4160  1 P 1.78, 1 Co 1.79
N 0.5202 0.1042 0.0000  1 P 1.78, 1 Co 1.79
N 0.2707 0.0361 0.4943  2 P 1.63-1.69



[9]
A plane-wave DFT calculation with PBE was carried out for a relaxed structure of CoPSeN2.

Computed properties:
ΔE to the lowest computed polymorph	0	meV/atom
uncorrected formation energy	83	kJ/mol of atoms
N(E_F)	1.06	states/eV per atom

Unit cell a=3.3224 b=3.3224 c=6.6866 alpha=90.00 beta=90.00 gamma=90.00
Last column: nearest neighbours and their distance in Å.
Element x y z (fractional)
Co 0.5000 0.5000 0.5000  4 Se 2.35
N 0.5000 0.0000 0.0000  2 P 1.66
N 0.0000 0.5000 0.0000  2 P 1.66
P 0.0000 0.0000 0.0000  4 N 1.66
Se 0.0000 0.0000 0.5000  4 Co 2.35



[10]
A plane-wave DFT calculation with PBE was carried out for a relaxed structure of CoPSe2N.

Computed properties:
ΔE to the lowest computed polymorph	0	meV/atom
uncorrected formation energy	57	kJ/mol of atoms
N(E_F)	0.44	states/eV per atom

Unit cell a=4.8754 b=4.8754 c=3.3750 alpha=90.00 beta=90.00 gamma=90.00
Last column: nearest neighbours and their distance in Å.
Element x y z (fractional)
Se 0.5000 0.0000 0.0000  2 Co 2.44
N 0.0000 0.0000 0.5000  2 Co 1.69
P 0.5000 0.5000 0.5000  8 Se 2.96
Co 0.0000 0.0000 0.0000  2 N 1.69
Se 0.0000 0.5000 0.0000  2 Co 2.44



[11]
A plane-wave DFT calculation with PBE was carried out for a relaxed structure of CoPSe2N.

Computed properties:
ΔE to the lowest computed polymorph	152	meV/atom
uncorrected formation energy	72	kJ/mol of atoms
N(E_F)	1.14	states/eV per atom

Unit cell a=4.9947 b=4.9947 c=3.1931 alpha=90.00 beta=90.00 gamma=90.00
Last column: nearest neighbours and their distance in Å.
Element x y z (fractional)
Co 0.5000 0.5000 0.5000  8 Se 2.96, 2 Co 3.19
P 0.0000 0.0000 0.0000  2 N 1.60
Se 0.0000 0.5000 0.0000  2 P 2.50
Se 0.5000 0.0000 0.0000  2 P 2.50
N 0.0000 0.0000 0.5000  2 P 1.60



[12]
A plane-wave DFT calculation with PBE was carried out for a relaxed structure of CoPSeN2.

Computed properties:
ΔE to the lowest computed polymorph	261	meV/atom
uncorrected formation energy	108	kJ/mol of atoms
N(E_F)	0.82	states/eV per atom

Unit cell a=3.4879 b=3.4879 c=7.7077 alpha=90.00 beta=90.00 gamma=90.00
Last column: nearest neighbours and their distance in Å.
Element x y z (fractional)
P 0.5000 0.5000 0.5000  4 Se 2.47
N 0.0000 0.5000 0.0000  2 Co 1.74
N 0.5000 0.0000 0.0000  2 Co 1.74
Se 0.0000 0.0000 0.5000  4 P 2.47
Co 0.0000 0.0000 0.0000  4 N 1.74



[13]
A plane-wave DFT calculation with PBE was carried out for a relaxed structure of SmCo2PN.

Computed properties:
uncorrected formation energy	-86	kJ/mol of atoms
N(E_F)	0.72	states/eV per atom

Unit cell a=3.5724 b=5.6877 c=6.7019 alpha=90.00 beta=90.00 gamma=108.30
Last column: nearest neighbours and their distance in Å.
Element x y z (fractional)
Co 0.8299 0.6598 0.4459  1 N 1.87
N 0.0000 0.0000 0.0000  2 Co 1.87
Sm 0.4600 0.9201 0.7500  4 N 2.49
Co 0.8299 0.6598 0.0541  1 N 1.87
Co 0.1701 0.3402 0.5541  1 N 1.87
Sm 0.5400 0.0799 0.2500  4 N 2.49
N 0.0000 0.0000 0.5000  2 Co 1.87
P 0.7307 0.4615 0.7500  6 Co 2.30-2.31
P 0.2693 0.5385 0.2500  6 Co 2.30-2.31
Co 0.1701 0.3402 0.9459  1 N 1.87



[14]
A plane-wave DFT calculation with PBE was carried out for a relaxed structure of SrCoPN.

Computed properties:
uncorrected formation energy	-34	kJ/mol of atoms
N(E_F)	0.62	states/eV per atom

Unit cell a=4.5304 b=3.4315 c=4.2356 alpha=90.23 beta=90.00 gamma=90.00
Last column: nearest neighbours and their distance in Å.
Element x y z (fractional)
Sr 0.5000 0.3949 0.3562  4 N 2.87-2.88, 2 Co 2.88, 4 P 3.09-3.10
N 0.0000 0.8928 0.4654  1 P 1.70
P 0.0000 0.8913 0.0651  1 N 1.70
Co 0.0000 0.3899 0.7744  2 P 2.11, 2 N 2.15-2.17



[15]
A plane-wave DFT calculation with PBE was carried out for a relaxed structure of Sr2Co2P2N.

Computed properties:
uncorrected formation energy	-73	kJ/mol of atoms
N(E_F)	0.66	states/eV per atom

Unit cell a=3.8158 b=5.8329 c=6.3096 alpha=69.87 beta=72.40 gamma=70.91
Last column: nearest neighbours and their distance in Å.
Element x y z (fractional)
P 0.8044 0.6345 0.7566  3 Co 2.24-2.26
P 0.1956 0.3655 0.2434  3 Co 2.24-2.26
Sr 0.4425 0.8070 0.3081  2 N 2.67
Co 0.8171 0.2997 0.0661  1 N 1.80
Co 0.1829 0.7003 0.9339  1 N 1.80
N 0.0000 0.0000 0.0000  2 Co 1.80
Sr 0.5575 0.1930 0.6919  2 N 2.67



[16]
A plane-wave DFT calculation with PBE was carried out for a relaxed structure of Sr2CoP2N6.

Computed properties:
uncorrected formation energy	-27	kJ/mol of atoms
N(E_F)	0.39	states/eV per atom

Unit cell a=5.4775 b=5.4775 c=6.2937 alpha=64.20 beta=64.20 gamma=60.00
Last column: nearest neighbours and their distance in Å.
Element x y z (fractional)
N 0.2573 0.7573 0.2281  1 P 1.58
N 0.7573 0.7573 0.2281  1 P 1.58
P 0.5957 0.5957 0.2129  3 N 1.58
Co 0.0000 0.0000 0.0000  6 N 2.01
N 0.2427 0.2427 0.7719  1 P 1.58
P 0.4043 0.4043 0.7871  3 N 1.58
N 0.7573 0.2573 0.2281  1 P 1.58
Sr 0.7884 0.7884 0.6348  9 N 2.72-2.84
Sr 0.2116 0.2116 0.3652  9 N 2.72-2.84
N 0.7427 0.2427 0.7719  1 P 1.58
N 0.2427 0.7427 0.7719  1 P 1.58



[17]
A plane-wave DFT calculation with PBE was carried out for a relaxed structure of TbCoPN.

Computed properties:
uncorrected formation energy	-117	kJ/mol of atoms
N(E_F)	0.41	states/eV per atom

Unit cell a=3.6530 b=3.6530 c=7.8868 alpha=90.00 beta=90.00 gamma=90.00
Last column: nearest neighbours and their distance in Å.
Element x y z (fractional)
N 0.0000 0.5000 0.1299  1 P 1.71
Co 0.0000 0.0000 0.5000  4 P 2.19
Co 0.5000 0.5000 0.5000  4 P 2.19
Tb 0.5000 0.0000 0.1657  5 N 2.33-2.60
Tb 0.0000 0.5000 0.8343  5 N 2.33-2.60
P 0.5000 0.0000 0.6531  1 N 1.71
N 0.5000 0.0000 0.8701  1 P 1.71
P 0.0000 0.5000 0.3469  1 N 1.71



[18]
A plane-wave DFT calculation with PBE was carried out for a relaxed structure of ThCoPN.

Computed properties:
uncorrected formation energy	-120	kJ/mol of atoms
N(E_F)	0.25	states/eV per atom

Unit cell a=3.9736 b=3.9736 c=8.2591 alpha=90.00 beta=90.00 gamma=90.00
Last column: nearest neighbours and their distance in Å.
Element x y z (fractional)
Co 0.0000 0.0000 0.0000  4 P 2.25
N 0.0000 0.0000 0.5000  4 Th 2.32
P 0.0000 0.5000 0.8721  4 Co 2.25
Th 0.0000 0.5000 0.3547  4 N 2.32
N 0.5000 0.5000 0.5000  4 Th 2.32
Co 0.5000 0.5000 0.0000  4 P 2.25
Th 0.5000 0.0000 0.6453  4 N 2.32
P 0.5000 0.0000 0.1279  4 Co 2.25



[19]
A plane-wave DFT calculation with PBE was carried out for a relaxed structure of UCoPN.

Computed properties:
uncorrected formation energy	-111	kJ/mol of atoms
N(E_F)	0.93	states/eV per atom

Unit cell a=3.7613 b=3.7613 c=7.6719 alpha=90.00 beta=90.00 gamma=90.00
Last column: nearest neighbours and their distance in Å.
Element x y z (fractional)
N 0.5000 0.5000 0.5000  4 U 2.24
P 0.0000 0.5000 0.8447  4 Co 2.23
Co 0.5000 0.5000 0.0000  4 P 2.23
N 0.0000 0.0000 0.5000  4 U 2.24
U 0.0000 0.5000 0.3418  4 N 2.24
U 0.5000 0.0000 0.6582  4 N 2.24
P 0.5000 0.0000 0.1553  4 Co 2.23
Co 0.0000 0.0000 0.0000  4 P 2.23



[20]
A plane-wave DFT calculation with PBE was carried out for a relaxed structure of Pa2CoN.

Computed properties:
ΔE to the lowest computed polymorph	147	meV/atom
uncorrected formation energy	-36	kJ/mol of atoms
N(E_F)	1.11	states/eV per atom

Unit cell a=3.1839 b=3.1839 c=8.0701 alpha=78.62 beta=78.62 gamma=60.00
Last column: nearest neighbours and their distance in Å.
Element x y z (fractional)
Co 0.0000 0.0000 0.0000  2 Pa 2.35
Pa 0.9001 0.9001 0.2996  1 Co 2.35, 3 N 2.42
N 0.5000 0.5000 0.5000  6 Pa 2.42
Pa 0.0999 0.0999 0.7004  1 Co 2.35, 3 N 2.42